Record 1
CeSm2DyBi4 | GGA-PBE | relaxed

The total magnetic moment comes out at 0.8 μB/f.u. As for the volume: 33.28 Å³ per atom. The final energy comes out at -5.3127 eV per atom.

The structure belongs to space group P2/m (No. 10); the cell edges are 7.872, 4.551 and 7.881 Å and the angles 90.00°, 109.45° and 90.00°. The distinct sites, in fractional coordinates, are Ce at (0.000, 0.000, 0.000), Sm at (0.000, 0.500, 0.500), Sm at (0.500, 0.000, 0.500), Dy at (0.500, 0.500, 0.000), Bi at (0.252, 0.500, 0.249) and Bi at (0.254, 0.000, 0.754).



Record 2
Ce3Sm2DyBi6 | GGA-PBE | relaxed

The total magnetic moment comes out at 2.6 μB/f.u. As for the volume: 33.68 Å³ per atom. The final energy comes out at -5.4438 eV per atom.

The structure belongs to space group C2/m (No. 12); the cell edges are 7.912, 13.704 and 7.908 Å and the angles 90.00°, 109.49° and 90.00°. The distinct sites, in fractional coordinates, are Ce at (0.000, 0.000, 0.000), Ce at (0.000, 0.332, 0.000), Sm at (0.000, 0.166, 0.500), Dy at (0.000, 0.500, 0.500), Bi at (0.247, 0.335, 0.746) and Bi at (0.247, 0.500, 0.252).